The following is a GGA-PBE calculation of a geometry-optimized PmBe4Te3O12 structure, from Alexandria.

The structure belongs to space group R32 (No. 155, hexagonal axes); the cell edges are 10.3702, 10.3702 and 8.0539 Å and the angles 90.00°, 90.00° and 120.00°. The asymmetric unit holds Pm at (0.0000, 0.0000, 0.0000), Be at (0.0000, 0.0000, 0.5000), Be at (0.0000, 0.4511, 0.5000), Te at (0.0000, 0.5435, 0.0000), O at (0.0000, 0.6020, 0.5000), O at (0.0000, 0.8511, 0.5000) and O at (0.0233, 0.2005, 0.1779).



The following is a GGA-PBE calculation of a geometry-optimized PmBeTlO3 structure, from Alexandria.

The structure belongs to space group C2/m (No. 12); the cell edges are 11.6214, 4.6646 and 7.7499 Å and the angles 90.00°, 99.98° and 90.00°. The asymmetric unit holds Pm at (0.1378, 0.0000, 0.1451), Be at (0.0607, 0.5000, 0.8969), Tl at (0.1372, 0.0000, 0.6185), O at (0.0626, 0.0000, 0.8659), O at (0.0851, 0.5000, 0.1198) and O at (0.1624, 0.5000, 0.7868).



Number 1: magnetization 0.00 μB/f.u., final energy -6.25 eV per atom. Number 2: magnetization 0.00 μB/f.u., final energy -6.46 eV per atom.